No. 1
Rb5ZnTeO2 | PBE-GGA | optimized geometry

Cell and atoms, written as POSCAR:
```
Rb5ZnTeO2
1.0
5.7844 0.0000 0.0000
0.0000 5.7844 0.0000
0.0000 0.0000 9.6444
Rb O Zn Te
5 2 1 1
direct
0.5000 0.0000 0.7678
0.5000 0.0000 0.2322
0.0000 0.0000 0.5000
0.0000 0.5000 0.7678
0.0000 0.5000 0.2322
0.0000 0.0000 0.8124
0.0000 0.0000 0.1876
0.0000 0.0000 0.0000
0.5000 0.5000 0.5000
```

ΔE_f (raw)   -1.0320 eV per atom

No. 2
SmMgGa2Cu | PBE-GGA | optimized geometry

Cell and atoms, written as POSCAR:
```
SmMgGa2Cu
1.0
4.1644 0.0000 0.0000
0.0000 4.1644 0.0000
-2.0822 -2.0822 5.6692
Ga Cu Sm Mg
2 1 1 1
direct
0.3912 0.3912 0.7824
0.6088 0.6088 0.2176
0.2500 0.7500 0.5000
0.0000 0.0000 0.0000
0.7500 0.2500 0.5000
```

Energy of formation from the pure elements   -194 kJ/mol of formula units